1.
# PBE-GGA TaVIr, relaxed
data_TaVIr
_chemical_formula_sum 'Ta1 V1 Ir1'
_cell_length_a 2.763
_cell_length_b 4.386
_cell_length_c 4.386
_cell_angle_alpha 120.00
_cell_angle_beta 90.00
_cell_angle_gamma 90.00
_symmetry_space_group_name_H-M 'P 1'
_symmetry_Int_Tables_number 1
_symmetry_space_group_name_Hall 'P 1'
loop_
_atom_site_label
_atom_site_type_symbol
_atom_site_fract_x
_atom_site_fract_y
_atom_site_fract_z
Ir1 Ir 0.658 0.333 0.667
Ta1 Ta 0.016 0.000 0.000
V1 V 0.326 0.667 0.333
# N(E_F) (states/eV/f.u.): 4.42
# Space group: P3m1
# Calculated volume (Å³ per atom): 15.3
# Total magnetic moment (Bohr magnetons per cell): 0.00
# Final energy (eV/atom): -10.175
# ΔE_f (eV/atom): -0.23



2.
# PBE-GGA Be2TlSe, relaxed
data_Be2TlSe
_chemical_formula_sum 'Be2 Tl1 Se1'
_cell_length_a 5.977
_cell_length_b 5.977
_cell_length_c 4.221
_cell_angle_alpha 79.23
_cell_angle_beta 79.23
_cell_angle_gamma 34.51
_symmetry_space_group_name_H-M 'P 1'
_symmetry_Int_Tables_number 1
_symmetry_space_group_name_Hall 'P 1'
loop_
_atom_site_label
_atom_site_type_symbol
_atom_site_fract_x
_atom_site_fract_y
_atom_site_fract_z
Be1 Be 0.695 0.695 0.722
Be2 Be 0.082 0.082 0.822
Tl1 Tl 0.236 0.236 0.215
Se1 Se 0.488 0.488 0.741
# N(E_F) (states/eV/f.u.): 0.66
# Space group: Cm
# Calculated volume (Å³ per atom): 20.9
# Total magnetic moment (Bohr magnetons per cell): 0.00
# Final energy (eV/atom): -3.107
# ΔE_f (raw) (eV/atom): 0.2190



3.
# PBE-GGA Al2CdW, relaxed
data_Al2CdW
_chemical_formula_sum 'Al2 Cd1 W1'
_cell_length_a 5.183
_cell_length_b 5.183
_cell_length_c 4.896
_cell_angle_alpha 83.48
_cell_angle_beta 83.48
_cell_angle_gamma 31.31
_symmetry_space_group_name_H-M 'P 1'
_symmetry_Int_Tables_number 1
_symmetry_space_group_name_Hall 'P 1'
loop_
_atom_site_label
_atom_site_type_symbol
_atom_site_fract_x
_atom_site_fract_y
_atom_site_fract_z
Al1 Al 0.749 0.749 0.737
Al2 Al 0.990 0.990 0.026
Cd1 Cd 0.508 0.508 0.511
W1 W 0.254 0.254 0.225
# N(E_F) (states/eV/f.u.): 1.26
# Space group: Cm
# Calculated volume (Å³ per atom): 17.0
# Total magnetic moment (Bohr magnetons per cell): 0.00
# Final energy (eV/atom): -5.166
# ΔE_f (eV/atom): 0.17



4.
# PBE-GGA ThZn2Au8, relaxed
data_ThZn2Au8
_chemical_formula_sum 'Th1 Zn2 Au8'
_cell_length_a 4.724
_cell_length_b 7.613
_cell_length_c 7.613
_cell_angle_alpha 114.12
_cell_angle_beta 105.15
_cell_angle_gamma 105.15
_symmetry_space_group_name_H-M 'P 1'
_symmetry_Int_Tables_number 1
_symmetry_space_group_name_Hall 'P 1'
loop_
_atom_site_label
_atom_site_type_symbol
_atom_site_fract_x
_atom_site_fract_y
_atom_site_fract_z
Th1 Th 0.500 0.000 0.000
Au1 Au 0.333 0.602 0.602
Au2 Au 0.667 0.398 0.398
Au3 Au 0.500 0.766 0.234
Au4 Au 0.500 0.234 0.766
Au5 Au 0.866 0.935 0.672
Au6 Au 0.866 0.672 0.935
Au7 Au 0.134 0.328 0.065
Au8 Au 0.134 0.065 0.328
Zn1 Zn 0.000 0.323 0.677
Zn2 Zn 0.000 0.677 0.323
# N(E_F) (states/eV/f.u.): 3.56
# Space group: C2/m
# Calculated volume (Å³ per atom): 19.9
# Total magnetic moment (Bohr magnetons per cell): 0.00
# Final energy (eV/atom): -3.546
# ΔE_f (eV/atom): -0.26



5.
# PBE-GGA Fe2P2Pt, relaxed
data_Fe2P2Pt
_chemical_formula_sum 'Fe4 P4 Pt2'
_cell_length_a 6.598
_cell_length_b 6.598
_cell_length_c 2.703
_cell_angle_alpha 90.00
_cell_angle_beta 90.00
_cell_angle_gamma 90.00
_symmetry_space_group_name_H-M 'P 1'
_symmetry_Int_Tables_number 1
_symmetry_space_group_name_Hall 'P 1'
loop_
_atom_site_label
_atom_site_type_symbol
_atom_site_fract_x
_atom_site_fract_y
_atom_site_fract_z
P1 P 0.150 0.350 0.000
P2 P 0.850 0.650 0.000
P3 P 0.350 0.850 0.000
P4 P 0.650 0.150 0.000
Fe1 Fe 0.640 0.860 0.500
Fe2 Fe 0.360 0.140 0.500
Fe3 Fe 0.860 0.360 0.500
Fe4 Fe 0.140 0.640 0.500
Pt1 Pt 0.000 0.000 0.000
Pt2 Pt 0.500 0.500 0.000
# N(E_F) (states/eV/f.u.): 3.52
# Space group: P4/mbm
# Calculated volume (Å³ per atom): 11.8
# Total magnetic moment (Bohr magnetons per cell): 0.67
# Final energy (eV/atom): -7.020
# ΔE_f (eV/atom): -0.26



6.
# PBE-GGA ErHfNi4, relaxed
data_ErHfNi4
_chemical_formula_sum 'Er1 Hf1 Ni4'
_cell_length_a 4.967
_cell_length_b 4.967
_cell_length_c 4.967
_cell_angle_alpha 60.00
_cell_angle_beta 60.00
_cell_angle_gamma 60.00
_symmetry_space_group_name_H-M 'P 1'
_symmetry_Int_Tables_number 1
_symmetry_space_group_name_Hall 'P 1'
loop_
_atom_site_label
_atom_site_type_symbol
_atom_site_fract_x
_atom_site_fract_y
_atom_site_fract_z
Ni1 Ni 0.124 0.625 0.625
Ni2 Ni 0.625 0.625 0.625
Ni3 Ni 0.625 0.124 0.625
Ni4 Ni 0.625 0.625 0.124
Er1 Er 0.250 0.250 0.250
Hf1 Hf 0.000 0.000 0.000
# N(E_F) (states/eV/f.u.): 3.46
# Space group: F-43m
# Calculated volume (Å³ per atom): 14.4
# Total magnetic moment (Bohr magnetons per cell): 0.00
# Final energy (eV/atom): -6.723
# ΔE_f (eV/atom): -0.45



7.
# PBE-GGA Ta2AlFePb, relaxed
data_Ta2AlFePb
_chemical_formula_sum 'Ta2 Al1 Fe1 Pb1'
_cell_length_a 4.835
_cell_length_b 4.302
_cell_length_c 4.835
_cell_angle_alpha 90.00
_cell_angle_beta 90.00
_cell_angle_gamma 90.00
_symmetry_space_group_name_H-M 'P 1'
_symmetry_Int_Tables_number 1
_symmetry_space_group_name_Hall 'P 1'
loop_
_atom_site_label
_atom_site_type_symbol
_atom_site_fract_x
_atom_site_fract_y
_atom_site_fract_z
Fe1 Fe 0.000 0.500 0.000
Ta1 Ta 0.500 0.000 0.000
Ta2 Ta 0.000 0.000 0.500
Al1 Al 0.000 0.000 0.000
Pb1 Pb 0.500 0.500 0.500
# N(E_F) (states/eV/f.u.): 4.49
# Space group: P4/mmm
# Calculated volume (Å³ per atom): 20.1
# Total magnetic moment (Bohr magnetons per cell): 1.97
# Final energy (eV/atom): -6.791
# ΔE_f (eV/atom): 1.13



8.
# PBE-GGA CrIrOs2, relaxed
data_CrIrOs2
_chemical_formula_sum 'Cr1 Ir1 Os2'
_cell_length_a 2.699
_cell_length_b 3.786
_cell_length_c 5.415
_cell_angle_alpha 90.00
_cell_angle_beta 90.00
_cell_angle_gamma 90.00
_symmetry_space_group_name_H-M 'P 1'
_symmetry_Int_Tables_number 1
_symmetry_space_group_name_Hall 'P 1'
loop_
_atom_site_label
_atom_site_type_symbol
_atom_site_fract_x
_atom_site_fract_y
_atom_site_fract_z
Os1 Os 0.000 0.000 0.486
Os2 Os 0.000 0.000 0.014
Cr1 Cr 0.500 0.500 0.250
Ir1 Ir 0.500 0.500 0.750
# N(E_F) (states/eV/f.u.): 3.70
# Space group: Pmmm
# Calculated volume (Å³ per atom): 13.8
# Total magnetic moment (Bohr magnetons per cell): 0.27
# Final energy (eV/atom): -10.189
# ΔE_f (eV/atom): 0.05



9.
# PBE-GGA TiAl2Mo, relaxed
data_TiAl2Mo
_chemical_formula_sum 'Ti1 Al2 Mo1'
_cell_length_a 3.384
_cell_length_b 3.384
_cell_length_c 5.484
_cell_angle_alpha 90.00
_cell_angle_beta 90.00
_cell_angle_gamma 90.00
_symmetry_space_group_name_H-M 'P 1'
_symmetry_Int_Tables_number 1
_symmetry_space_group_name_Hall 'P 1'
loop_
_atom_site_label
_atom_site_type_symbol
_atom_site_fract_x
_atom_site_fract_y
_atom_site_fract_z
Al1 Al 0.000 0.000 0.759
Al2 Al 0.000 0.000 0.241
Ti1 Ti 0.500 0.500 0.500
Mo1 Mo 0.500 0.500 0.000
# N(E_F) (states/eV/f.u.): 2.40
# Space group: P4/mmm
# Calculated volume (Å³ per atom): 15.7
# Total magnetic moment (Bohr magnetons per cell): 0.00
# Final energy (eV/atom): -6.761
# ΔE_f (eV/atom): -0.21



10.
# PBE-GGA Th12Np3Bi5, relaxed
data_Th12Np3Bi5
_chemical_formula_sum 'Th48 Np12 Bi20'
_cell_length_a 15.885
_cell_length_b 15.885
_cell_length_c 15.885
_cell_angle_alpha 109.47
_cell_angle_beta 109.47
_cell_angle_gamma 109.47
_symmetry_space_group_name_H-M 'P 1'
_symmetry_Int_Tables_number 1
_symmetry_space_group_name_Hall 'P 1'
loop_
_atom_site_label
_atom_site_type_symbol
_atom_site_fract_x
_atom_site_fract_y
_atom_site_fract_z
Bi1 Bi 0.875 0.625 0.750
Bi2 Bi 0.500 0.500 0.500
Bi3 Bi 0.000 0.500 0.000
Bi4 Bi 0.875 0.250 0.625
Bi5 Bi 0.500 0.500 0.000
Bi6 Bi 0.625 0.875 0.250
Bi7 Bi 0.000 0.000 0.000
Bi8 Bi 0.375 0.125 0.750
Bi9 Bi 0.750 0.125 0.875
Bi10 Bi 0.125 0.375 0.250
Bi11 Bi 0.500 0.000 0.500
Bi12 Bi 0.125 0.750 0.375
Bi13 Bi 0.500 0.000 0.000
Bi14 Bi 0.625 0.750 0.875
Bi15 Bi 0.250 0.375 0.625
Bi16 Bi 0.375 0.250 0.125
Bi17 Bi 0.000 0.500 0.500
Bi18 Bi 0.750 0.625 0.375
Bi19 Bi 0.250 0.875 0.125
Bi20 Bi 0.000 0.000 0.500
Th1 Th 0.388 0.261 0.332
Th2 Th 0.332 0.571 0.444
Th3 Th 0.888 0.832 0.761
Th4 Th 0.873 0.261 0.429
Th5 Th 0.388 0.127 0.556
Th6 Th 0.739 0.612 0.168
Th7 Th 0.612 0.873 0.444
Th8 Th 0.168 0.112 0.739
Th9 Th 0.444 0.071 0.332
Th10 Th 0.112 0.168 0.239
Th11 Th 0.627 0.071 0.239
Th12 Th 0.761 0.429 0.373
Th13 Th 0.444 0.373 0.612
Th14 Th 0.071 0.627 0.739
Th15 Th 0.571 0.239 0.127
Th16 Th 0.929 0.556 0.168
Th17 Th 0.261 0.388 0.832
Th18 Th 0.888 0.056 0.627
Th19 Th 0.571 0.332 0.944
Th20 Th 0.429 0.668 0.056
Th21 Th 0.739 0.127 0.071
Th22 Th 0.873 0.612 0.944
Th23 Th 0.761 0.332 0.888
Th24 Th 0.832 0.888 0.261
Th25 Th 0.071 0.444 0.832
Th26 Th 0.556 0.627 0.388
Th27 Th 0.373 0.444 0.112
Th28 Th 0.261 0.873 0.929
Th29 Th 0.944 0.832 0.571
Th30 Th 0.239 0.571 0.627
Th31 Th 0.627 0.556 0.888
Th32 Th 0.668 0.429 0.556
Th33 Th 0.127 0.388 0.056
Th34 Th 0.944 0.112 0.873
Th35 Th 0.127 0.739 0.571
Th36 Th 0.556 0.929 0.668
Th37 Th 0.373 0.929 0.761
Th38 Th 0.929 0.373 0.261
Th39 Th 0.239 0.668 0.112
Th40 Th 0.168 0.056 0.929
Th41 Th 0.056 0.168 0.429
Th42 Th 0.056 0.888 0.127
Th43 Th 0.332 0.761 0.388
Th44 Th 0.668 0.239 0.612
Th45 Th 0.832 0.944 0.071
Th46 Th 0.429 0.761 0.873
Th47 Th 0.612 0.739 0.668
Th48 Th 0.112 0.944 0.373
Np1 Np 0.625 0.375 0.750
Np2 Np 0.875 0.125 0.250
Np3 Np 0.750 0.875 0.625
Np4 Np 0.750 0.375 0.125
Np5 Np 0.125 0.250 0.875
Np6 Np 0.375 0.625 0.250
Np7 Np 0.625 0.250 0.375
Np8 Np 0.375 0.750 0.625
Np9 Np 0.125 0.875 0.750
Np10 Np 0.875 0.750 0.125
Np11 Np 0.250 0.125 0.375
Np12 Np 0.250 0.625 0.875
# N(E_F) (states/eV/f.u.): 42.60
# Space group: Ia-3d
# Calculated volume (Å³ per atom): 38.6
# Total magnetic moment (Bohr magnetons per cell): 74.88
# Final energy (eV/atom): -6.809
# ΔE_f (eV/atom): 0.55



11.
# PBE-GGA La2PrAu4, relaxed
data_La2PrAu4
_chemical_formula_sum 'La2 Pr1 Au4'
_cell_length_a 5.504
_cell_length_b 5.504
_cell_length_c 8.615
_cell_angle_alpha 108.63
_cell_angle_beta 108.63
_cell_angle_gamma 90.00
_symmetry_space_group_name_H-M 'P 1'
_symmetry_Int_Tables_number 1
_symmetry_space_group_name_Hall 'P 1'
loop_
_atom_site_label
_atom_site_type_symbol
_atom_site_fract_x
_atom_site_fract_y
_atom_site_fract_z
Au1 Au 0.811 0.811 0.621
Au2 Au 0.500 0.000 0.000
Au3 Au 0.189 0.189 0.379
Au4 Au 0.000 0.500 0.000
Pr1 Pr 0.000 0.000 0.000
La1 La 0.622 0.622 0.244
La2 La 0.378 0.378 0.756
# N(E_F) (states/eV/f.u.): 5.98
# Space group: I4/mmm
# Calculated volume (Å³ per atom): 33.3
# Total magnetic moment (Bohr magnetons per cell): 0.00
# Final energy (eV/atom): -4.275
# ΔE_f (eV/atom): -0.31



12.
# PBE-GGA TlRe2Sn2, relaxed
data_TlRe2Sn2
_chemical_formula_sum 'Tl1 Re2 Sn2'
_cell_length_a 3.652
_cell_length_b 3.652
_cell_length_c 9.556
_cell_angle_alpha 78.98
_cell_angle_beta 78.98
_cell_angle_gamma 90.00
_symmetry_space_group_name_H-M 'P 1'
_symmetry_Int_Tables_number 1
_symmetry_space_group_name_Hall 'P 1'
loop_
_atom_site_label
_atom_site_type_symbol
_atom_site_fract_x
_atom_site_fract_y
_atom_site_fract_z
Re1 Re 0.750 0.250 0.500
Re2 Re 0.250 0.750 0.500
Sn1 Sn 0.629 0.629 0.742
Sn2 Sn 0.371 0.371 0.258
Tl1 Tl 0.000 0.000 0.000
# N(E_F) (states/eV/f.u.): 3.13
# Space group: I4/mmm
# Calculated volume (Å³ per atom): 24.5
# Total magnetic moment (Bohr magnetons per cell): 0.00
# Final energy (eV/atom): -6.594
# ΔE_f (eV/atom): 0.46



Question: final energy of number 4 (ThZn2Au8)?
Answer: -3.546 eV/atom



What did the sixth record say?
# PBE-GGA ErHfNi4, relaxed
data_ErHfNi4
_chemical_formula_sum 'Er1 Hf1 Ni4'
_cell_length_a 4.967
_cell_length_b 4.967
_cell_length_c 4.967
_cell_angle_alpha 60.00
_cell_angle_beta 60.00
_cell_angle_gamma 60.00
_symmetry_space_group_name_H-M 'P 1'
_symmetry_Int_Tables_number 1
_symmetry_space_group_name_Hall 'P 1'
loop_
_atom_site_label
_atom_site_type_symbol
_atom_site_fract_x
_atom_site_fract_y
_atom_site_fract_z
Ni1 Ni 0.124 0.625 0.625
Ni2 Ni 0.625 0.625 0.625
Ni3 Ni 0.625 0.124 0.625
Ni4 Ni 0.625 0.625 0.124
Er1 Er 0.250 0.250 0.250
Hf1 Hf 0.000 0.000 0.000
# N(E_F) (states/eV/f.u.): 3.46
# Space group: F-43m
# Calculated volume (Å³ per atom): 14.4
# Total magnetic moment (Bohr magnetons per cell): 0.00
# Final energy (eV/atom): -6.723
# ΔE_f (eV/atom): -0.45



Question: Number 6 is which compound?
Answer: ErHfNi4